(1)
TbPa3Tl4O12 | PBE | optimized geometry

POSCAR file:
```
TbPa3Tl4O12
1.0
-4.4136 4.4136 4.4136
4.4136 -4.4136 4.4136
4.4136 4.4136 -4.4136
Tb Pa Tl O
1 3 4 12
Direct
0.0000 0.0000 0.0000
0.0000 0.5000 0.5000
0.5000 0.0000 0.5000
0.5000 0.5000 0.0000
0.0000 0.0000 0.5000
0.0000 0.5000 0.0000
0.5000 0.0000 0.0000
0.5000 0.5000 0.5000
0.0000 0.2595 0.2595
0.0000 0.7405 0.7405
0.2500 0.5000 0.7500
0.2500 0.7500 0.5000
0.2595 0.0000 0.2595
0.2595 0.2595 0.0000
0.5000 0.2500 0.7500
0.5000 0.7500 0.2500
0.7405 0.0000 0.7405
0.7405 0.7405 0.0000
0.7500 0.2500 0.5000
0.7500 0.5000 0.2500
```

Summary:
formation energy without anion corrections = -2.48 eV/atom
total moment = 0.0 μB/f.u.

***

(2)
TbPaTl2O8 | PBE | optimized geometry

POSCAR file:
```
TbPaTl2O8
1.0
-3.5199 3.5199 3.7858
3.5199 -3.5199 3.7858
3.5199 3.5199 -3.7858
Tb Pa Tl O
1 1 2 8
Direct
0.0000 0.0000 0.0000
0.7500 0.2500 0.5000
0.2500 0.7500 0.5000
0.5000 0.5000 0.0000
0.0203 0.3451 0.3249
0.0203 0.6954 0.6751
0.0884 0.2778 0.8106
0.3046 0.9797 0.3249
0.4672 0.2778 0.1894
0.6549 0.9797 0.6751
0.7222 0.5328 0.8106
0.7222 0.9116 0.1894
```

Summary:
formation energy without anion corrections = -1.79 eV/atom
total moment = 1.1 μB/f.u.

***

(3)
TbPa2TlO8 | PBE | optimized geometry

POSCAR file:
```
TbPa2TlO8
1.0
-2.7215 2.7215 5.4571
2.7215 -2.7215 5.4571
2.7215 2.7215 -5.4571
Tb Pa Tl O
1 2 1 8
Direct
0.0000 0.0000 0.0000
0.5000 0.5000 0.0000
0.7500 0.2500 0.5000
0.2500 0.7500 0.5000
0.1193 0.6034 0.9395
0.1226 0.1070 0.5064
0.3838 0.8774 0.9844
0.3966 0.3361 0.5159
0.6006 0.6162 0.4936
0.6639 0.1798 0.0605
0.8202 0.8807 0.4841
0.8930 0.3994 0.0156
```

Summary:
formation energy without anion corrections = -3.02 eV/atom
total moment = 0.0 μB/f.u.

***

(4)
TbTmPaO6 | PBE | optimized geometry

POSCAR file:
```
TbTmPaO6
1.0
5.7548 0.0000 0.0000
-2.8774 4.9838 0.0000
0.0000 0.0000 4.6817
Tb Tm Pa O
1 1 1 6
Direct
0.0000 0.0000 0.0000
0.3333 0.6667 0.0000
0.6667 0.3333 0.5000
0.3497 0.0099 0.2442
0.3497 0.3398 0.7558
0.6602 0.0099 0.7558
0.6602 0.6503 0.2442
0.9901 0.3398 0.2442
0.9901 0.6503 0.7558
```

Summary:
formation energy without anion corrections = -3.24 eV/atom
total moment = 0.5 μB/f.u.